Entry 1:
Material: K2NaHg5
Method: DFT, PBE
State: optimized geometry

Polymorph energy (0 for the lowest one)   0.0113 eV/atom
VASP energy   -0.835 eV per atom
E_form   -206.6 meV per atom
Crystal system   tetragonal

Cell lengths 6.980, 6.980, 6.980 Å; angles 114.54, 114.54, 99.75 degrees
Atoms (fractional coordinates):
K 0.000 0.500 0.500
K 0.500 0.000 0.500
Na 0.080 0.080 0.000
Hg 0.435 0.435 0.000
Hg 0.544 0.544 0.581
Hg 0.544 0.964 0.000
Hg 0.964 0.544 0.000
Hg 0.964 0.964 0.419

=====

Entry 2:
Material: KSeCl2
Method: DFT, PBE
State: optimized geometry

Polymorph energy (0 for the lowest one)   0.3485 eV/atom
VASP energy   -2.571 eV per atom
Crystal system   cubic

Cell lengths 5.369, 5.369, 5.369 Å; angles 60.00, 60.00, 60.00 degrees
Atoms (fractional coordinates):
K 0.000 0.000 0.000
Se 0.500 0.500 0.500
Cl 0.250 0.250 0.250
Cl 0.750 0.750 0.750

=====

Entry 3:
Material: CaZnRh
Method: DFT, PBE
State: optimized geometry

VASP energy   -3.742 eV per atom
E_form   -199.6 meV per atom
Crystal system   cubic

Cell lengths 4.513, 4.513, 4.513 Å; angles 60.00, 60.00, 60.00 degrees
Atoms (fractional coordinates):
Ca 0.000 0.000 0.000
Zn 0.500 0.500 0.500
Rh 0.250 0.250 0.250

=====

Entry 4:
Material: NaCa2AgF
Method: DFT, PBE
State: optimized geometry

VASP energy   -3.143 eV per atom
Crystal system   tetragonal

Cell lengths 5.004, 5.004, 4.628 Å; angles 90.00, 90.00, 90.00 degrees
Atoms (fractional coordinates):
Na 0.000 0.000 0.000
Ca 0.000 0.500 0.500
Ca 0.500 0.000 0.500
Ag 0.500 0.500 0.000
F 0.000 0.000 0.500

=====

Entry 5:
Material: In12Ga2Bi
Method: DFT, PBE
State: optimized geometry

VASP energy   -2.753 eV per atom
E_form   99.6 meV per atom
Crystal system   orthorhombic

Cell lengths 7.018, 9.173, 13.180 Å; angles 90.00, 90.00, 90.00 degrees
Atoms (fractional coordinates):
In 0.011 0.005 0.172
In 0.011 0.495 0.828
In 0.116 0.071 0.592
In 0.116 0.429 0.408
In 0.250 0.750 0.108
In 0.250 0.750 0.351
In 0.250 0.750 0.649
In 0.250 0.750 0.892
In 0.384 0.071 0.408
In 0.384 0.429 0.592
In 0.489 0.005 0.828
In 0.489 0.495 0.172
In 0.511 0.505 0.828
In 0.511 0.995 0.172
In 0.616 0.571 0.408
In 0.616 0.929 0.592
In 0.750 0.250 0.108
In 0.750 0.250 0.351
In 0.750 0.250 0.649
In 0.750 0.250 0.892
In 0.884 0.571 0.592
In 0.884 0.929 0.408
In 0.989 0.505 0.172
In 0.989 0.995 0.828
Ga 0.250 0.250 0.239
Ga 0.250 0.250 0.761
Ga 0.750 0.750 0.239
Ga 0.750 0.750 0.761
Bi 0.250 0.250 0.000
Bi 0.750 0.750 0.000

=====

Entry 6:
Material: Zn4Ru5
Method: DFT, PBE
State: optimized geometry

Polymorph energy (0 for the lowest one)   0.0393 eV/atom
VASP energy   -5.518 eV per atom
E_form   201.0 meV per atom
Crystal system   hexagonal

Cell lengths 7.564, 7.564, 5.110 Å; angles 90.00, 90.00, 120.00 degrees
Atoms (fractional coordinates):
Zn 0.000 0.000 0.000
Zn 0.000 0.000 0.500
Zn 0.000 0.359 0.250
Zn 0.000 0.641 0.750
Zn 0.359 0.000 0.250
Zn 0.359 0.359 0.750
Zn 0.641 0.000 0.750
Zn 0.641 0.641 0.250
Ru 0.000 0.309 0.750
Ru 0.000 0.691 0.250
Ru 0.309 0.000 0.750
Ru 0.309 0.309 0.250
Ru 0.333 0.667 0.000
Ru 0.333 0.667 0.500
Ru 0.667 0.333 0.000
Ru 0.667 0.333 0.500
Ru 0.691 0.000 0.250
Ru 0.691 0.691 0.750